Entry 1:
Here is a relaxed ZrInBr2 crystal from Alexandria. Energies are from PBE.

```
data_ZrInBr2
_chemical_formula_sum 'Zr1 In1 Br2'
_cell_length_a 3.315
_cell_length_b 3.315
_cell_length_c 10.819
_cell_angle_alpha 90.00
_cell_angle_beta 90.00
_cell_angle_gamma 90.00
_space_group_name_H-M_alt 'P 4/m m m'
_space_group_IT_number 123
_space_group_name_Hall '-P 4 2'
loop_
_atom_site_label
_atom_site_type_symbol
_atom_site_fract_x
_atom_site_fract_y
_atom_site_fract_z
Zr1 Zr 0.000 0.000 0.000
In1 In 0.000 0.000 0.500
Br1 Br 0.500 0.500 0.155
```

Results
- formation energy without anion corrections (kJ/mol of atoms) = -59
- DFT total energy (eV per atom) = -4.270
- energy above the lowest structure with this stoichiometry (kJ/mol of formula units) = 57

---

Entry 2:
Here is a relaxed Ho5Sb4Te crystal from Alexandria. Energies are from PBE.

```
data_Ho5Sb4Te
_chemical_formula_sum 'Ho10 Sb8 Te2'
_cell_length_a 9.753
_cell_length_b 9.753
_cell_length_c 6.168
_cell_angle_alpha 90.00
_cell_angle_beta 90.00
_cell_angle_gamma 90.00
_space_group_name_H-M_alt 'I 4/m'
_space_group_IT_number 87
_space_group_name_Hall '-I 4'
loop_
_atom_site_label
_atom_site_type_symbol
_atom_site_fract_x
_atom_site_fract_y
_atom_site_fract_z
Ho1 Ho 0.000 0.000 0.000
Ho2 Ho 0.101 0.306 0.500
Sb1 Sb 0.102 0.298 0.000
Te1 Te 0.000 0.000 0.500
```

Results
- formation energy without anion corrections (kJ/mol of atoms) = -114
- DFT total energy (eV per atom) = -5.434
- energy above the lowest structure with this stoichiometry (kJ/mol of formula units) = 0

---

Entry 3:
Here is a relaxed LaCdAgGe crystal from Alexandria. Energies are from PBE.

```
data_LaCdAgGe
_chemical_formula_sum 'La4 Cd4 Ag4 Ge4'
_cell_length_a 7.193
_cell_length_b 7.193
_cell_length_c 7.193
_cell_angle_alpha 90.00
_cell_angle_beta 90.00
_cell_angle_gamma 90.00
_space_group_name_H-M_alt 'F -4 3 m'
_space_group_IT_number 216
_space_group_name_Hall 'F -4 2 3'
loop_
_atom_site_label
_atom_site_type_symbol
_atom_site_fract_x
_atom_site_fract_y
_atom_site_fract_z
La1 La 0.000 0.000 0.000
Cd1 Cd 0.000 0.000 0.500
Ag1 Ag 0.250 0.250 0.750
Ge1 Ge 0.250 0.250 0.250
```

Results
- DFT total energy (eV per atom) = -3.684
- formation enthalpy at 0 K (eV/atom) = -0.36

---

Entry 4:
Here is a relaxed Zn3InNi4 crystal from Alexandria. Energies are from PBE.

```
data_Zn3InNi4
_chemical_formula_sum 'Zn9 In3 Ni12'
_cell_length_a 4.1755
_cell_length_b 4.1755
_cell_length_c 20.7529
_cell_angle_alpha 90.00
_cell_angle_beta 90.00
_cell_angle_gamma 120.00
_space_group_name_H-M_alt 'R -3 m'
_space_group_IT_number 166
_space_group_name_Hall '-R 3 2"'
loop_
_atom_site_label
_atom_site_type_symbol
_atom_site_fract_x
_atom_site_fract_y
_atom_site_fract_z
Zn1 Zn 0.0000 0.0000 0.0000
Zn2 Zn 0.0000 0.0000 0.2525
In1 In 0.0000 0.0000 0.5000
Ni1 Ni 0.0000 0.0000 0.1183
Ni2 Ni 0.0000 0.0000 0.3727
```

Results
- DFT total energy (eV per atom) = -3.884
- formation enthalpy at 0 K (eV/atom) = -0.17

---

Entry 5:
Here is a relaxed CaCrPd crystal from Alexandria. Energies are from PBE.

```
data_CaCrPd
_chemical_formula_sum 'Ca4 Cr4 Pd4'
_cell_length_a 4.500
_cell_length_b 7.283
_cell_length_c 7.603
_cell_angle_alpha 90.00
_cell_angle_beta 90.00
_cell_angle_gamma 90.00
_space_group_name_H-M_alt 'I m m 2'
_space_group_IT_number 44
_space_group_name_Hall 'I 2 -2'
loop_
_atom_site_label
_atom_site_type_symbol
_atom_site_fract_x
_atom_site_fract_y
_atom_site_fract_z
Ca1 Ca 0.000 0.000 0.000
Ca2 Ca 0.000 0.500 0.127
Cr1 Cr 0.000 0.342 0.728
Pd1 Pd 0.000 0.192 0.409
```

Results
- DFT total energy (eV per atom) = -5.672
- energy above the lowest structure with this stoichiometry (kJ/mol of formula units) = 6
- formation enthalpy at 0 K (eV/atom) = -0.07

---

Entry 6:
Here is a relaxed BaLiRe2 crystal from Alexandria. Energies are from PBE.

```
data_BaLiRe2
_chemical_formula_sum 'Ba1 Li1 Re2'
_cell_length_a 2.774
_cell_length_b 2.774
_cell_length_c 10.025
_cell_angle_alpha 90.00
_cell_angle_beta 90.00
_cell_angle_gamma 90.00
_space_group_name_H-M_alt 'P 4/m m m'
_space_group_IT_number 123
_space_group_name_Hall '-P 4 2'
loop_
_atom_site_label
_atom_site_type_symbol
_atom_site_fract_x
_atom_site_fract_y
_atom_site_fract_z
Ba1 Ba 0.000 0.000 0.000
Li1 Li 0.000 0.000 0.500
Re1 Re 0.500 0.500 0.288
```

Results
- DFT total energy (eV per atom) = -5.919
- energy above the lowest structure with this stoichiometry (kJ/mol of formula units) = 291
- formation enthalpy at 0 K (eV/atom) = 1.26

---

Entry 7:
Here is a relaxed Tl3CrIn3Br8 crystal from Alexandria. Energies are from PBE.

```
data_Tl3CrIn3Br8
_chemical_formula_sum 'Tl9 Cr3 In9 Br24'
_cell_length_a 9.3456
_cell_length_b 9.3456
_cell_length_c 22.9252
_cell_angle_alpha 90.00
_cell_angle_beta 90.00
_cell_angle_gamma 120.00
_space_group_name_H-M_alt 'R -3 m'
_space_group_IT_number 166
_space_group_name_Hall '-R 3 2"'
loop_
_atom_site_label
_atom_site_type_symbol
_atom_site_fract_x
_atom_site_fract_y
_atom_site_fract_z
Tl1 Tl 0.0000 0.5000 0.0000
Cr1 Cr 0.0000 0.0000 0.5000
In1 In 0.0000 0.5000 0.5000
Br1 Br 0.0000 0.0000 0.2487
Br2 Br 0.0596 0.5298 0.2346
```

Results
- formation energy without anion corrections (kJ/mol of atoms) = -69
- DFT total energy (eV per atom) = -3.265

---

Entry 8:
Here is a relaxed Pr4Nd3Pu crystal from Alexandria. Energies are from PBE.

```
data_Pr4Nd3Pu
_chemical_formula_sum 'Pr8 Nd6 Pu2'
_cell_length_a 3.549
_cell_length_b 11.869
_cell_length_c 13.265
_cell_angle_alpha 90.00
_cell_angle_beta 90.00
_cell_angle_gamma 90.00
_space_group_name_H-M_alt 'I m m m'
_space_group_IT_number 71
_space_group_name_Hall '-I 2 2'
loop_
_atom_site_label
_atom_site_type_symbol
_atom_site_fract_x
_atom_site_fract_y
_atom_site_fract_z
Pr1 Pr 0.000 0.249 0.131
Nd1 Nd 0.000 0.000 0.500
Nd2 Nd 0.000 0.500 0.269
Pu1 Pu 0.000 0.000 0.000
```

Results
- DFT total energy (eV per atom) = -5.825
- formation enthalpy at 0 K (eV/atom) = 0.14

---

Entry 9:
Here is a relaxed CuOs2Se crystal from Alexandria. Energies are from PBE.

```
data_CuOs2Se
_chemical_formula_sum 'Cu2 Os4 Se2'
_cell_length_a 2.771
_cell_length_b 4.801
_cell_length_c 9.229
_cell_angle_alpha 90.00
_cell_angle_beta 90.00
_cell_angle_gamma 90.00
_space_group_name_H-M_alt 'C m m 2'
_space_group_IT_number 35
_space_group_name_Hall 'C 2 -2'
loop_
_atom_site_label
_atom_site_type_symbol
_atom_site_fract_x
_atom_site_fract_y
_atom_site_fract_z
Cu1 Cu 0.000 0.000 0.000
Os1 Os 0.000 0.000 0.478
Os2 Os 0.000 0.500 0.242
Se1 Se 0.000 0.500 0.747
```

Results
- formation energy without anion corrections (kJ/mol of atoms) = 66
- DFT total energy (eV per atom) = -6.822

---

Entry 10:
Here is a relaxed Na5B7C3 crystal from Alexandria. Energies are from PBE.

```
data_Na5B7C3
_chemical_formula_sum 'Na20 B28 C12'
_cell_length_a 14.549
_cell_length_b 4.993
_cell_length_c 9.049
_cell_angle_alpha 90.00
_cell_angle_beta 108.77
_cell_angle_gamma 90.00
_space_group_name_H-M_alt 'C 1 2 1'
_space_group_IT_number 5
_space_group_name_Hall 'C 2y'
loop_
_atom_site_label
_atom_site_type_symbol
_atom_site_fract_x
_atom_site_fract_y
_atom_site_fract_z
Na1 Na 0.049 0.000 0.247
Na2 Na 0.051 0.503 0.754
Na3 Na 0.149 0.499 0.245
Na4 Na 0.150 0.001 0.752
Na5 Na 0.249 0.999 0.247
B1 B 0.000 0.184 0.500
B2 B 0.000 0.333 0.000
B3 B 0.000 0.684 0.000
B4 B 0.000 0.833 0.500
B5 B 0.101 0.668 0.501
B6 B 0.106 0.164 0.001
B7 B 0.109 0.320 0.500
B8 B 0.200 0.666 0.000
B9 B 0.206 0.838 0.500
C1 C 0.102 0.833 0.001
C2 C 0.202 0.160 0.501
C3 C 0.203 0.328 0.001
```

Results
- DFT total energy (eV per atom) = -5.254
- energy above the lowest structure with this stoichiometry (kJ/mol of formula units) = 49
- formation enthalpy at 0 K (eV/atom) = 0.15

---

Entry 11:
Here is a relaxed LiNbBi3 crystal from Alexandria. Energies are from PBE.

```
data_LiNbBi3
_chemical_formula_sum 'Li1 Nb1 Bi3'
_cell_length_a 5.552
_cell_length_b 5.552
_cell_length_c 5.552
_cell_angle_alpha 90.00
_cell_angle_beta 90.00
_cell_angle_gamma 90.00
_space_group_name_H-M_alt 'P m -3 m'
_space_group_IT_number 221
_space_group_name_Hall '-P 4 2 3'
loop_
_atom_site_label
_atom_site_type_symbol
_atom_site_fract_x
_atom_site_fract_y
_atom_site_fract_z
Li1 Li 0.000 0.000 0.000
Nb1 Nb 0.500 0.500 0.500
Bi1 Bi 0.000 0.500 0.500
```

Results
- DFT total energy (eV per atom) = -4.421
- energy above the lowest structure with this stoichiometry (kJ/mol of formula units) = 0
- formation enthalpy at 0 K (eV/atom) = 0.30

---

Entry 12:
Here is a relaxed ZrTePt4 crystal from Alexandria. Energies are from PBE.

```
data_ZrTePt4
_chemical_formula_sum 'Zr4 Te4 Pt16'
_cell_length_a 7.612
_cell_length_b 7.612
_cell_length_c 7.612
_cell_angle_alpha 90.00
_cell_angle_beta 90.00
_cell_angle_gamma 90.00
_space_group_name_H-M_alt 'F -4 3 m'
_space_group_IT_number 216
_space_group_name_Hall 'F -4 2 3'
loop_
_atom_site_label
_atom_site_type_symbol
_atom_site_fract_x
_atom_site_fract_y
_atom_site_fract_z
Zr1 Zr 0.000 0.000 0.000
Te1 Te 0.250 0.250 0.250
Pt1 Pt 0.125 0.125 0.625
```

Results
- formation energy without anion corrections (kJ/mol of atoms) = -37
- DFT total energy (eV per atom) = -6.364

---

| no. | V (A^3/atom) | Fermi-level density of states (states/eV per atom) | total magnetic moment (μB/f.u.) |
| --- | --- | --- | --- |
| 1 | 29.73 | 0.500 | 0.3 |
| 2 | 29.34 | 0.259 | 0.0 |
| 3 | 23.26 | 0.208 | 0.0 |
| 4 | 13.06 | 0.780 | 0.0 |
| 5 | 20.77 | 0.576 | 0.0 |
| 6 | 19.29 | 1.005 | 0.0 |
| 7 | 38.53 | 0.401 | 4.0 |
| 8 | 34.92 | 2.084 | 6.5 |
| 9 | 15.35 | 1.099 | 0.3 |
| 10 | 10.37 | 0.091 | 0.0 |
| 11 | 34.23 | 0.684 | 0.0 |
| 12 | 18.38 | 0.985 | 0.0 |